Record 1
# SrHgTeO

SrHgTeO after structural relaxation (PBE-GGA, OQMD).

abc: 7.7009 4.0735 13.3891
angles: 90.00 90.00 90.00
Space group Pnma (No. 62)
Asymmetric unit:
Sr (0.0311, 0.2500, 0.2307) (multiplicity 4)
Hg (0.2092, 0.7500, 0.4400) (multiplicity 4)
Te (0.1975, 0.2500, 0.6080) (multiplicity 4)
O (0.2408, 0.7500, 0.8546) (multiplicity 4)

Computed properties:
Energy above the lowest structure with this stoichiometry = 241.1 meV per atom

---

Record 2
# TbHoSi

TbHoSi after structural relaxation (PBE-GGA, OQMD).

abc: 6.8435 6.8435 6.8435
angles: 90.00 90.00 90.00
Space group F-43m (No. 216)
Asymmetric unit:
Tb (0.0000, 0.0000, 0.0000) (multiplicity 4)
Ho (0.0000, 0.0000, 0.5000) (multiplicity 4)
Si (0.2500, 0.2500, 0.7500) (multiplicity 4)

Computed properties:
Size of the total moment = 0.0 μB/cell
Electronic total energy = -64.132 eV/cell

---

Record 3
# SrThNb

SrThNb after structural relaxation (PBE-GGA, OQMD).

abc: 7.4053 7.4053 7.4053
angles: 90.00 90.00 90.00
Space group F-43m (No. 216)
Asymmetric unit:
Sr (0.0000, 0.0000, 0.0000) (multiplicity 4)
Th (0.0000, 0.0000, 0.5000) (multiplicity 4)
Nb (0.2500, 0.2500, 0.2500) (multiplicity 4)

Computed properties:
Size of the total moment = 6.9 μB/cell
Energy above the lowest structure with this stoichiometry = 0.0 meV per atom

---

Record 4
# Cu3Ag

Cu3Ag after structural relaxation (PBE-GGA, OQMD).

abc: 4.5916 5.9198 7.9960
angles: 98.55 95.44 97.19
Space group P1 (No. 1)
Asymmetric unit:
Cu (0.0000, 0.0000, 0.0000) (multiplicity 1)
Cu (0.0000, 0.2437, 0.7337) (multiplicity 1)
Cu (0.0150, 0.7535, 0.2328) (multiplicity 1)
Cu (0.2452, 0.4325, 0.0660) (multiplicity 1)
Cu (0.2605, 0.9459, 0.5313) (multiplicity 1)
Cu (0.2735, 0.1757, 0.2905) (multiplicity 1)
Cu (0.5134, 0.8705, 0.1202) (multiplicity 1)
Cu (0.5183, 0.6225, 0.3483) (multiplicity 1)
Cu (0.5215, 0.3554, 0.5998) (multiplicity 1)
Cu (0.7558, 0.3070, 0.1748) (multiplicity 1)
Cu (0.7622, 0.0525, 0.4110) (multiplicity 1)
Cu (0.7660, 0.5631, 0.9432) (multiplicity 1)
Ag (0.0274, 0.4878, 0.4748) (multiplicity 1)
Ag (0.2623, 0.6692, 0.8118) (multiplicity 1)
Ag (0.4959, 0.1358, 0.8663) (multiplicity 1)
Ag (0.7585, 0.8103, 0.6671) (multiplicity 1)

Computed properties:
ΔE_f = 0.0754 eV per atom

---

Record 5
# RbZrU

RbZrU after structural relaxation (PBE-GGA, OQMD).

abc: 7.7550 7.7550 7.7550
angles: 90.00 90.00 90.00
Space group F-43m (No. 216)
Asymmetric unit:
Rb (0.0000, 0.0000, 0.0000) (multiplicity 4)
Zr (0.0000, 0.0000, 0.5000) (multiplicity 4)
U (0.2500, 0.2500, 0.2500) (multiplicity 4)

Computed properties:
Size of the total moment = 28.8 μB/cell
Electronic total energy = -56.927 eV/cell

---

Record 6
# RbZnSClO4

RbZnSClO4 after structural relaxation (PBE-GGA, OQMD).

abc: 7.1464 9.6089 8.2681
angles: 90.00 95.50 90.00
Space group P2_1/c (No. 14)
Asymmetric unit:
Rb (0.1379, 0.0821, 0.2973) (multiplicity 4)
Zn (0.3985, 0.6974, 0.4609) (multiplicity 4)
S (0.3914, 0.0685, 0.7307) (multiplicity 4)
Cl (0.1142, 0.6824, 0.5357) (multiplicity 4)
O (0.2046, 0.0619, 0.6437) (multiplicity 4)
O (0.3828, 0.1609, 0.8769) (multiplicity 4)
O (0.4635, 0.6209, 0.8732) (multiplicity 4)
O (0.4646, 0.5722, 0.2844) (multiplicity 4)

Computed properties:
Electronic total energy = -163.353 eV/cell

---

Record 7
# LuFe

LuFe after structural relaxation (PBE-GGA, OQMD).

abc: 4.6466 4.6466 5.3261
angles: 90.00 90.00 120.00
Space group P6_3/mmc (No. 194)
Asymmetric unit:
Lu (0.3333, 0.6667, 0.2500) (multiplicity 2)
Fe (0.3333, 0.6667, 0.7500) (multiplicity 2)

Computed properties:
Size of the total moment = 3.4 μB/cell
ΔE_f = 0.9810 eV per atom

---

Record 8
# Nd2IrAu

Nd2IrAu after structural relaxation (PBE-GGA, OQMD).

abc: 5.9008 4.5326 7.9532
angles: 90.00 110.96 90.00
Space group P2_1/m (No. 11)
Asymmetric unit:
Nd (0.2134, 0.2500, 0.4393) (multiplicity 2)
Nd (0.2351, 0.2500, 0.9221) (multiplicity 2)
Ir (0.3290, 0.7500, 0.7104) (multiplicity 2)
Au (0.3229, 0.7500, 0.2092) (multiplicity 2)

Computed properties:
Size of the total moment = 0.0 μB/cell
ΔE_f = -0.7550 eV per atom

---

Record 9
# TbHfPO

TbHfPO after structural relaxation (PBE-GGA, OQMD).

abc: 4.0995 4.0995 7.9778
angles: 90.00 90.00 90.00
Space group P4/nmm (No. 129, origin choice 2)
Asymmetric unit:
Tb (0.2500, 0.7500, 0.0000) (multiplicity 2)
Hf (0.2500, 0.2500, 0.3928) (multiplicity 2)
P (0.2500, 0.2500, 0.7630) (multiplicity 2)
O (0.2500, 0.7500, 0.5000) (multiplicity 2)

Computed properties:
Size of the total moment = 0.0 μB/cell
Energy above the lowest structure with this stoichiometry = 521.0 meV per atom

---

Record 10
# LiDyB

LiDyB after structural relaxation (PBE-GGA, OQMD).

abc: 5.9421 5.9421 5.9421
angles: 90.00 90.00 90.00
Space group F-43m (No. 216)
Asymmetric unit:
Li (0.0000, 0.0000, 0.0000) (multiplicity 4)
Dy (0.0000, 0.0000, 0.5000) (multiplicity 4)
B (0.2500, 0.2500, 0.7500) (multiplicity 4)

Computed properties:
Size of the total moment = 0.7 μB/cell
Energy above the lowest structure with this stoichiometry = 0.0 meV per atom

---

Record 11
# Cs2NbAgCl6

Cs2NbAgCl6 after structural relaxation (PBE-GGA, OQMD).

abc: 10.5069 10.5069 10.5069
angles: 90.00 90.00 90.00
Space group Fm-3m (No. 225)
Asymmetric unit:
Cs (0.2500, 0.2500, 0.2500) (multiplicity 8)
Nb (0.0000, 0.0000, 0.0000) (multiplicity 4)
Ag (0.0000, 0.0000, 0.5000) (multiplicity 4)
Cl (0.0000, 0.0000, 0.2391) (multiplicity 24)

Computed properties:
Size of the total moment = 8.0 μB/cell
Electronic total energy = -157.380 eV/cell

---

Record 12
# BaZn

BaZn after structural relaxation (PBE-GGA, OQMD).

abc: 7.4784 5.0294 11.2066
angles: 90.00 90.05 90.00
Space group Pm (No. 6)
Asymmetric unit:
Ba (0.0000, 0.0000, 0.0000) (multiplicity 1)
Ba (0.1135, 0.5000, 0.4148) (multiplicity 1)
Ba (0.2949, 0.0000, 0.7103) (multiplicity 1)
Ba (0.4987, 0.0000, 0.3011) (multiplicity 1)
Ba (0.6141, 0.5000, 0.8858) (multiplicity 1)
Ba (0.7949, 0.0000, 0.5907) (multiplicity 1)
Zn (0.0136, 0.5000, 0.7527) (multiplicity 1)
Zn (0.3146, 0.5000, 0.1063) (multiplicity 1)
Zn (0.4283, 0.0000, 0.0210) (multiplicity 1)
Zn (0.5133, 0.5000, 0.5484) (multiplicity 1)
Zn (0.8127, 0.5000, 0.1945) (multiplicity 1)
Zn (0.9266, 0.0000, 0.2797) (multiplicity 1)

Computed properties:
Electronic total energy = -19.693 eV/cell